i) ## ZnTc2O2 (PBE-GGA)

Data for a relaxed ZnTc2O2 crystal.

## Properties
M_tot: 0.00 μB/f.u.
SG: No. 127

Cell: 6.8760 6.8760 2.6407 Å, 90.00 90.00 90.00°
Atoms (fractional coordinates):
Zn  0.0000  0.0000  0.0000
Zn  0.5000  0.5000  0.0000
Tc  0.3687  0.8687  0.0000
Tc  0.8687  0.6313  0.0000
Tc  0.6313  0.1313  0.0000
Tc  0.1313  0.3687  0.0000
O  0.1241  0.6241  0.5000
O  0.6241  0.8759  0.5000
O  0.8759  0.3759  0.5000
O  0.3759  0.1241  0.5000

***

ii) ## ZnTc2O2 (PBE-GGA)

Data for a relaxed ZnTc2O2 crystal.

## Properties
M_tot: 0.00 μB/f.u.
SG: No. 139

Cell: 3.3274 3.3274 5.8098 Å, 73.36 73.36 90.00°
Atoms (fractional coordinates):
Zn  0.0000  0.0000  0.0000
Tc  0.3707  0.3707  0.2587
Tc  0.6293  0.6293  0.7413
O  0.7500  0.2500  0.5000
O  0.2500  0.7500  0.5000

***

Name the least stable of them. i).

***

i) ## Zr3TcO (PBE-GGA)

Data for a relaxed Zr3TcO crystal.

## Properties
M_tot: 0.00 μB/f.u.
SG: No. 221

Cell: 4.4351 4.4351 4.4351 Å, 90.00 90.00 90.00°
Atoms (fractional coordinates):
O  0.0000  0.0000  0.0000
Tc  0.5000  0.5000  0.5000
Zr  0.0000  0.5000  0.0000
Zr  0.0000  0.0000  0.5000
Zr  0.5000  0.0000  0.0000

***

ii) ## Zr3TcO (PBE-GGA)

Data for a relaxed Zr3TcO crystal.

## Properties
M_tot: 0.00 μB/f.u.
SG: No. 221

Cell: 5.0021 5.0021 5.0021 Å, 90.00 90.00 90.00°
Atoms (fractional coordinates):
O  0.5000  0.5000  0.5000
Tc  0.0000  0.0000  0.0000
Zr  0.0000  0.5000  0.0000
Zr  0.0000  0.0000  0.5000
Zr  0.5000  0.0000  0.0000

***

Name the least stable of them. ii).

***

i) ## ZrTcO2 (PBE-GGA)

Data for a relaxed ZrTcO2 crystal.

## Properties
M_tot: 1.55 μB/f.u.
SG: No. 166

Cell: 6.6727 6.6727 6.6727 Å, 27.15 27.15 27.15°
Site moments in Bohr magnetons follow the coordinates.
Atoms (fractional coordinates):
O  0.8934  0.8934  0.8934  0.02
O  0.1066  0.1066  0.1066  0.02
Tc  0.0000  0.0000  0.0000  1.44
Zr  0.5000  0.5000  0.5000  -0.05

***

ii) ## ZrTcO2 (PBE-GGA)

Data for a relaxed ZrTcO2 crystal.

## Properties
M_tot: 2.53 μB/f.u.
SG: No. 225

Cell: 4.0253 4.0253 4.0253 Å, 60.00 60.00 60.00°
Site moments in Bohr magnetons follow the coordinates.
Atoms (fractional coordinates):
O  0.2500  0.2500  0.2500  0.11
O  0.7500  0.7500  0.7500  0.11
Tc  0.5000  0.5000  0.5000  2.12
Zr  0.0000  0.0000  0.0000  -0.02

***

Name the least stable of them. ii).

***

i) ## ZrTcO2 (PBE-GGA)

Data for a relaxed ZrTcO2 crystal.

## Properties
M_tot: 0.00 μB/f.u.
SG: No. 166

Cell: 7.1731 7.1731 7.1731 Å, 23.25 23.25 23.25°
Atoms (fractional coordinates):
O  0.8968  0.8968  0.8968
O  0.1032  0.1032  0.1032
Tc  0.5000  0.5000  0.5000
Zr  0.0000  0.0000  0.0000

***

ii) ## ZrTcO2 (PBE-GGA)

Data for a relaxed ZrTcO2 crystal.

## Properties
M_tot: 0.00 μB/f.u.
SG: No. 122

Cell: 4.1145 4.1145 6.8514 Å, 72.53 72.53 90.00°
Atoms (fractional coordinates):
O  0.6388  0.1250  0.2500
O  0.1112  0.6250  0.2500
O  0.3750  0.3612  0.7500
O  0.8750  0.8888  0.7500
Tc  0.0000  0.0000  0.0000
Tc  0.7500  0.2500  0.5000
Zr  0.5000  0.5000  0.0000
Zr  0.2500  0.7500  0.5000

***

Name the least stable of them. i).

***

i) ## TeO3 (PBE-GGA)

Data for a relaxed TeO3 crystal.

## Properties
M_tot: 0.00 μB/f.u.
SG: No. 33

Cell: 5.1664 8.0934 9.7028 Å, 90.00 90.00 90.00°
Atoms (fractional coordinates):
Te  0.1899  0.3802  0.0897
Te  0.6899  0.6198  0.9103
Te  0.6899  0.8802  0.4103
Te  0.1899  0.1198  0.5897
Te  0.9828  0.4720  0.3750
Te  0.4828  0.5280  0.6250
Te  0.4828  0.9720  0.1250
Te  0.9828  0.0280  0.8750
O  0.0819  0.2478  0.4330
O  0.5819  0.7522  0.5670
O  0.5819  0.7478  0.0670
O  0.0819  0.2522  0.9330
O  0.6584  0.4228  0.4713
O  0.1584  0.5772  0.5287
O  0.1584  0.9228  0.0287
O  0.6584  0.0772  0.9713
O  0.8693  0.3585  0.2072
O  0.3693  0.6415  0.7928
O  0.3693  0.8585  0.2928
O  0.8693  0.1415  0.7072
O  0.3515  0.3125  0.6802
O  0.8515  0.6875  0.3198
O  0.8515  0.8125  0.8198
O  0.3515  0.1875  0.1802
O  0.5192  0.4297  0.9999
O  0.0192  0.5703  0.0001
O  0.0192  0.9297  0.5001
O  0.5192  0.0703  0.4999
O  0.2902  0.5056  0.2552
O  0.7902  0.4944  0.7448
O  0.7902  0.0056  0.2448
O  0.2902  0.9944  0.7552

***

ii) ## TeO3 (PBE-GGA)

Data for a relaxed TeO3 crystal.

## Properties
M_tot: 2.86 μB/f.u.
SG: No. 15

Cell: 8.2869 8.2869 6.0810 Å, 76.36 76.36 79.00°
Site moments in Bohr magnetons follow the coordinates.
Atoms (fractional coordinates):
Te  0.0000  0.0000  0.5000  0.32
Te  0.0000  0.0000  0.0000  0.32
O  0.5226  0.9435  0.4445  0.81
O  0.8608  0.1392  0.2500  0.20
O  0.0565  0.4774  0.0555  0.81
O  0.4774  0.0565  0.5555  0.81
O  0.1392  0.8608  0.7500  0.20
O  0.9435  0.5226  0.9445  0.81

***

Name the least stable of them. ii).

***

i) ## TeO3 (PBE-GGA)

Data for a relaxed TeO3 crystal.

## Properties
M_tot: 0.00 μB/f.u.
SG: No. 62

Cell: 5.1102 5.2735 7.3689 Å, 90.00 90.00 90.00°
Atoms (fractional coordinates):
Te  0.0000  0.0000  0.5000
Te  0.5000  0.5000  0.5000
Te  0.5000  0.5000  0.0000
Te  0.0000  0.0000  0.0000
O  0.3756  0.5237  0.2500
O  0.8756  0.9763  0.7500
O  0.1244  0.0237  0.2500
O  0.6244  0.4763  0.7500
O  0.1847  0.3100  0.9384
O  0.6847  0.1900  0.0616
O  0.3153  0.8100  0.5616
O  0.8153  0.6900  0.4384
O  0.1847  0.3100  0.5616
O  0.6847  0.1900  0.4384
O  0.8153  0.6900  0.0616
O  0.3153  0.8100  0.9384

***

ii) ## TeO3 (PBE-GGA)

Data for a relaxed TeO3 crystal.

## Properties
M_tot: 0.00 μB/f.u.
SG: No. 12

Cell: 5.2447 5.2447 5.5379 Å, 81.47 81.47 120.02°
Atoms (fractional coordinates):
Te  0.6665  0.3335  0.0000
Te  0.3335  0.6665  0.0000
O  0.5539  0.9346  0.2089
O  0.6847  0.6847  0.7908
O  0.4461  0.0654  0.7911
O  0.9346  0.5539  0.2089
O  0.0654  0.4461  0.7911
O  0.3153  0.3153  0.2092

***

iii) ## TeO3 (PBE-GGA)

Data for a relaxed TeO3 crystal.

## Properties
M_tot: 0.00 μB/f.u.
SG: No. 185

Cell: 6.4725 6.4725 11.6939 Å, 90.00 90.00 120.00°
Atoms (fractional coordinates):
Te  0.6672  0.0000  0.5021
Te  0.6672  0.6672  0.0021
Te  0.0000  0.3328  0.0021
Te  0.0000  0.6672  0.5021
Te  0.3328  0.3328  0.5021
Te  0.3328  0.0000  0.0021
O  0.6667  0.3333  0.0254
O  0.3333  0.6667  0.5254
O  0.6667  0.3333  0.5254
O  0.3333  0.6667  0.0254
O  0.0000  0.0000  0.9609
O  0.0000  0.0000  0.4609
O  0.3946  0.0000  0.8523
O  0.3946  0.3946  0.3523
O  0.0000  0.6054  0.3523
O  0.0000  0.3946  0.8523
O  0.6054  0.6054  0.8523
O  0.6054  0.0000  0.3523
O  0.2781  0.0000  0.1527
O  0.2781  0.2781  0.6527
O  0.0000  0.7219  0.6527
O  0.0000  0.2781  0.1527
O  0.7219  0.7219  0.1527
O  0.7219  0.0000  0.6527

***

iv) ## TeO3 (PBE-GGA)

Data for a relaxed TeO3 crystal.

## Properties
M_tot: 0.00 μB/f.u.
SG: No. 167

Cell: 5.2855 5.2855 5.2855 Å, 57.01 57.01 57.01°
Atoms (fractional coordinates):
O  0.1142  0.7500  0.3858
O  0.7500  0.3858  0.1142
O  0.3858  0.1142  0.7500
O  0.8858  0.2500  0.6142
O  0.2500  0.6142  0.8858
O  0.6142  0.8858  0.2500
Te  0.0000  0.0000  0.0000
Te  0.5000  0.5000  0.5000

***

Name the least stable of them. iii).